(1)
Compound: NaGa2Pt3
Source: OQMD via LeMat-Bulk
Functional: GGA-PBE
Structure: optimized geometry

Results
Total moment: 0.001 μB/atom
Final energy: -29.03 eV per cell
Theoretical density: 11.4 g cm⁻³

Lattice parameters (Å, degrees): 5.6408 5.6408 3.9518 90.00 90.00 120.00
With the nearest neighbours (Å) after each atom.
Space group P6/mmm (No. 191)
One atom of each set of equivalent atoms:
Na 0.0000 0.0000 0.0000 [1 per cell]  6 Ga 3.26, 12 Pt 3.44
Ga 0.3333 0.6667 0.0000 [2 per cell]  6 Pt 2.56
Pt 0.0000 0.5000 0.5000 [3 per cell]  4 Ga 2.56, 4 Pt 2.82

---

(2)
Compound: Na2GaPt3
Source: OQMD via LeMat-Bulk
Functional: GGA-PBE
Structure: optimized geometry

Results
Total moment: 0.000 μB/atom
Final energy: -80.52 eV per cell
Theoretical density: 10.8 g cm⁻³

Lattice parameters (Å, degrees): 5.4988 5.4988 12.3263 90.00 90.00 120.00
With the nearest neighbours (Å) after each atom.
Space group R-3m (No. 166, hexagonal axes)
One atom of each set of equivalent atoms:
Na 0.0000 0.0000 0.1208 [6 per cell]  1 Na 2.98, 9 Pt 3.06-3.13, 3 Ga 3.22
Ga 0.0000 0.0000 0.5000 [3 per cell]  6 Pt 2.60
Pt 0.0000 0.5000 0.0000 [9 per cell]  2 Ga 2.60, 4 Pt 2.75

---

(3)
Compound: NaGaPt
Source: OQMD via LeMat-Bulk
Functional: GGA-PBE
Structure: optimized geometry

Results
Total moment: 0.000 μB/atom
Final energy: -37.78 eV per cell
Theoretical density: 7.6 g cm⁻³

Lattice parameters (Å, degrees): 6.2996 6.2996 6.2996 90.00 90.00 90.00
With the nearest neighbours (Å) after each atom.
Space group F-43m (No. 216)
One atom of each set of equivalent atoms:
Na 0.0000 0.0000 0.0000 [4 per cell]  4 Pt 2.73, 4 Ga 2.73
Ga 0.2500 0.2500 0.7500 [4 per cell]  4 Na 2.73
Pt 0.2500 0.2500 0.2500 [4 per cell]  4 Na 2.73

---

(4)
Compound: NaGa4Pt6
Source: OQMD via LeMat-Bulk
Functional: GGA-PBE
Structure: optimized geometry

Results
Total moment: 0.000 μB/atom
Final energy: -56.49 eV per cell
Theoretical density: 13.3 g cm⁻³

Lattice parameters (Å, degrees): 7.3959 7.3959 3.8729 90.00 90.00 120.00
With the nearest neighbours (Å) after each atom.
Space group P-6m2 (No. 187)
One atom of each set of equivalent atoms:
Na 0.0000 0.0000 0.0000 [1 per cell]  6 Ga 3.15, 6 Pt 3.19
Ga 0.3333 0.6667 0.0000 [1 per cell]  9 Pt 2.57-2.60
Ga 0.3872 0.1936 0.5000 [3 per cell]  6 Pt 2.51-2.61
Pt 0.1983 0.3966 0.5000 [3 per cell]  4 Ga 2.51-2.60
Pt 0.5341 0.0682 0.0000 [3 per cell]  5 Ga 2.57-2.61